Entry 1:
Material: Tb3PdSeCl
Method: DFT, PBE
State: optimized geometry

Values from the calculation:
M_tot = 0.00 Bohr magnetons per cell
Symmetry = P2_1/m (11)
Raw total energy = -32.38 eV per formula unit

Geometry as extended XYZ:
```
12
Lattice="7.467 0.000 0.000 0.000 3.819 0.000 -2.708 0.000 10.385" Properties=species:S:1:pos:R:3 pbc="T T T"
Tb -0.155 0.955 1.807
Tb 0.190 2.864 5.268
Tb 0.971 2.864 8.722
Tb 3.788 0.955 1.664
Tb 4.569 0.955 5.117
Tb 4.914 2.864 8.579
Pd -0.805 0.955 7.169
Pd 5.564 2.864 3.216
Se 1.794 2.864 0.601
Se 2.966 0.955 9.784
Cl 1.873 0.955 3.864
Cl 2.886 2.864 6.521
```

Entry 2:
Material: SiCl
Method: DFT, PBE
State: optimized geometry

Values from the calculation:
M_tot = 0.00 Bohr magnetons per cell
Polymorph energy (0 for the lowest one) = 0.176 eV/atom
Symmetry = Cmcm (63)
Raw total energy = -8.27 eV per formula unit

Geometry as extended XYZ:
```
8
Lattice="3.392 0.000 0.000 0.000 16.732 0.000 0.000 0.000 3.634" Properties=species:S:1:pos:R:3 pbc="T T T"
Si 0.000 3.877 0.909
Si 0.000 12.855 2.726
Si 1.696 4.489 2.726
Si 1.696 12.243 0.909
Cl 0.000 1.804 0.909
Cl 0.000 14.928 2.726
Cl 1.696 6.562 2.726
Cl 1.696 10.170 0.909
```

Repeat the second record exactly.
Material: SiCl
Method: DFT, PBE
State: optimized geometry

Values from the calculation:
M_tot = 0.00 Bohr magnetons per cell
Polymorph energy (0 for the lowest one) = 0.176 eV/atom
Symmetry = Cmcm (63)
Raw total energy = -8.27 eV per formula unit

Geometry as extended XYZ:
```
8
Lattice="3.392 0.000 0.000 0.000 16.732 0.000 0.000 0.000 3.634" Properties=species:S:1:pos:R:3 pbc="T T T"
Si 0.000 3.877 0.909
Si 0.000 12.855 2.726
Si 1.696 4.489 2.726
Si 1.696 12.243 0.909
Cl 0.000 1.804 0.909
Cl 0.000 14.928 2.726
Cl 1.696 6.562 2.726
Cl 1.696 10.170 0.909
```

Question: Among the records above, which one has the highest raw total energy?
Answer: SiCl

Question: Which of these has the lowest raw total energy?
Answer: Tb3PdSeCl